Entry 1:
# Li3TmNi8 | Alexandria | PBE | optimized geometry
data_Li3TmNi8
_cell_length_a 4.8035
_cell_length_b 4.8035
_cell_length_c 23.4652
_cell_angle_alpha 90.00
_cell_angle_beta 90.00
_cell_angle_gamma 120.00
_symmetry_space_group_name_H-M 'R 3 m'
_symmetry_Int_Tables_number 160
_symmetry_space_group_name_Hall 'R 3 -2"'
loop_
_atom_site_label
_atom_site_fract_x
_atom_site_fract_y
_atom_site_fract_z
Li1 0.0000 0.0000 0.0000
Li2 0.0000 0.0000 0.1166
Li3 0.0000 0.0000 0.4859
Tm1 0.0000 0.0000 0.6160
Ni1 0.0000 0.0000 0.3039
Ni2 0.0000 0.0000 0.8032
Ni3 0.0013 0.5006 0.0546
Ni4 0.1671 0.3342 0.8852
# energy of formation	-2.33	eV/f.u.
# raw total energy	-176.38	eV per cell
# DOS(E_F)	10.478	states/eV/f.u.



Entry 2:
# Ba2TlSn3 | Alexandria | PBE | optimized geometry
data_Ba2TlSn3
_cell_length_a 9.765
_cell_length_b 9.875
_cell_length_c 18.462
_cell_angle_alpha 90.00
_cell_angle_beta 90.00
_cell_angle_gamma 90.00
_symmetry_space_group_name_H-M 'F m m m'
_symmetry_Int_Tables_number 69
_symmetry_space_group_name_Hall '-F 2 2'
loop_
_atom_site_label
_atom_site_fract_x
_atom_site_fract_y
_atom_site_fract_z
Ba1 0.000 0.245 0.000
Ba2 0.250 0.250 0.250
Tl1 0.000 0.000 0.332
Sn1 0.000 0.000 0.166
Sn2 0.248 0.000 0.080
# energy of formation	-2.79	eV/f.u.
# offset from the most stable computed form	4.16	kJ per mole of atoms
# raw total energy	-168.05	eV per cell
# DOS(E_F)	3.340	states/eV/f.u.



Entry 3:
# ReSi2Pb | Alexandria | PBE | optimized geometry
data_ReSi2Pb
_cell_length_a 3.271
_cell_length_b 5.034
_cell_length_c 9.225
_cell_angle_alpha 90.00
_cell_angle_beta 90.00
_cell_angle_gamma 90.00
_symmetry_space_group_name_H-M 'C m m 2'
_symmetry_Int_Tables_number 35
_symmetry_space_group_name_Hall 'C 2 -2'
loop_
_atom_site_label
_atom_site_fract_x
_atom_site_fract_y
_atom_site_fract_z
Re1 0.000 0.000 0.000
Si1 0.000 0.000 0.389
Si2 0.000 0.500 0.189
Pb1 0.000 0.500 0.724
# uncorrected formation energy	0.670	eV/atom
# raw total energy	-48.64	eV per cell
# DOS(E_F)	2.835	states/eV/f.u.